Record 1
VAgW3 | GGA-PBE | relaxed

a b c (Å): 4.5434 4.5434 4.5434
angles (deg): 90.00 90.00 90.00
With the nearest neighbours (Å) after each atom.
Atoms (fractional coordinates):
V (0.0000, 0.0000, 0.0000)  6 W 2.27
Ag (0.5000, 0.5000, 0.5000)  12 W 3.21
W (0.0000, 0.0000, 0.5000)  2 V 2.27
W (0.0000, 0.5000, 0.0000)  2 V 2.27
W (0.5000, 0.0000, 0.0000)  2 V 2.27

Results
* size of the total moment: 0.0 μB/f.u.
* final energy: -0.31217 hartree per atom
* E above lowest polymorph: 0.0 meV/atom



Record 2
Tb3CeSm2Y6 | GGA-PBE | relaxed

a b c (Å): 6.2051 6.2051 11.8266
angles (deg): 95.01 95.01 119.98
With the nearest neighbours (Å) after each atom.
Atoms (fractional coordinates):
Tb (0.0000, 0.0000, 0.0000)  6 Y 3.56-3.57, 6 Tb 3.58-3.59
Tb (0.3328, 0.6672, 0.0000)  6 Y 3.56-3.57, 6 Tb 3.58-3.59
Tb (0.6672, 0.3328, 0.0000)  6 Y 3.56-3.57, 6 Tb 3.58-3.59
Ce (0.5000, 0.5000, 0.5000)  6 Y 3.57, 6 Sm 3.58
Sm (0.1666, 0.8334, 0.5000)  3 Sm 3.58, 6 Y 3.58, 3 Ce 3.58
Sm (0.8334, 0.1666, 0.5000)  3 Sm 3.58, 6 Y 3.58, 3 Ce 3.58
Y (0.0852, 0.4163, 0.2494)  6 Y 3.56-3.60, 3 Tb 3.56-3.57, 1 Ce 3.57, 2 Sm 3.58
Y (0.2524, 0.2524, 0.7508)  6 Y 3.56-3.59, 3 Tb 3.56-3.57, 1 Ce 3.57, 2 Sm 3.58
Y (0.4163, 0.0852, 0.2494)  6 Y 3.56-3.60, 3 Tb 3.56-3.57, 1 Ce 3.57, 2 Sm 3.58
Y (0.5837, 0.9148, 0.7506)  6 Y 3.56-3.60, 3 Tb 3.56-3.57, 1 Ce 3.57, 2 Sm 3.58
Y (0.7476, 0.7476, 0.2492)  6 Y 3.56-3.59, 3 Tb 3.56-3.57, 1 Ce 3.57, 2 Sm 3.58
Y (0.9148, 0.5837, 0.7506)  6 Y 3.56-3.60, 3 Tb 3.56-3.57, 1 Ce 3.57, 2 Sm 3.58

Results
* size of the total moment: 1.1 μB/f.u.
* final energy: -0.20702 hartree per atom



Record 3
Ac12IrRh5 | GGA-PBE | relaxed

a b c (Å): 7.5600 7.5600 13.9551
angles (deg): 95.15 95.15 120.02
With the nearest neighbours (Å) after each atom.
Atoms (fractional coordinates):
Ac (0.0379, 0.3708, 0.1153)  1 Ir 2.97, 2 Rh 2.98
Ac (0.1279, 0.1279, 0.3837)  3 Rh 2.98
Ac (0.2052, 0.5385, 0.6161)  3 Rh 2.98
Ac (0.2946, 0.2946, 0.8846)  1 Ir 2.97, 2 Rh 2.98
Ac (0.3708, 0.0379, 0.1153)  1 Ir 2.97, 2 Rh 2.98
Ac (0.4615, 0.7948, 0.3839)  3 Rh 2.98
Ac (0.5385, 0.2052, 0.6161)  3 Rh 2.98
Ac (0.6292, 0.9621, 0.8847)  1 Ir 2.97, 2 Rh 2.98
Ac (0.7054, 0.7054, 0.1154)  1 Ir 2.97, 2 Rh 2.98
Ac (0.7948, 0.4615, 0.3839)  3 Rh 2.98
Ac (0.8721, 0.8721, 0.6163)  3 Rh 2.98
Ac (0.9621, 0.6292, 0.8847)  1 Ir 2.97, 2 Rh 2.98
Ir (0.0000, 0.0000, 0.0000)  6 Ac 2.97
Rh (0.1667, 0.8333, 0.5000)  6 Ac 2.98
Rh (0.3334, 0.6666, 0.0000)  6 Ac 2.98
Rh (0.5000, 0.5000, 0.5000)  6 Ac 2.98
Rh (0.6666, 0.3334, 0.0000)  6 Ac 2.98
Rh (0.8333, 0.1667, 0.5000)  6 Ac 2.98

Results
* size of the total moment: 0.0 μB/f.u.
* final energy: -0.21437 hartree per atom